(1)
{"formula": "Na4Eu2GeAs4", "functional": "GGA-PBEsol", "state": "optimized geometry", "dos_ef_per_ev_atom": 2.48, "magmom_total_mub_per_fu": 0.03, "energy_ev_per_atom": -5.386, "formation_energy_ev_per_atom": -0.651, "space_group": "Cc", "crystal_system": "monoclinic", "vol_a3_per_atom": 25.4, "lattice_angstrom": [[7.177, -0.053, -0.091], [-0.125, 9.480, -0.016], [-0.125, -4.687, 8.240]], "species": ["As", "As", "As", "As", "As", "As", "As", "As", "Na", "Na", "Na", "Na", "Na", "Na", "Na", "Na", "Ge", "Ge", "Eu", "Eu", "Eu", "Eu"], "fractional_positions": [[0.895, 0.812, 0.198], [0.372, 0.196, 0.380], [0.349, 0.656, 0.334], [0.411, 0.622, 0.810], [0.849, 0.334, 0.656], [0.911, 0.810, 0.622], [0.395, 0.198, 0.812], [0.872, 0.380, 0.196], [0.299, 0.850, 0.140], [0.616, 0.943, 0.475], [0.831, 0.724, 0.866], [0.773, 0.132, 0.284], [0.799, 0.140, 0.850], [0.331, 0.866, 0.724], [0.273, 0.284, 0.132], [0.116, 0.475, 0.943], [0.499, 0.330, 0.662], [0.999, 0.662, 0.330], [0.622, 0.526, 0.486], [0.115, 0.047, 0.526], [0.615, 0.526, 0.047], [0.122, 0.486, 0.526]]}

(2)
{"formula": "K5Ba", "functional": "GGA-PBEsol", "state": "optimized geometry", "dos_ef_per_ev_atom": 1.07, "magmom_total_mub_per_fu": 0.01, "energy_ev_per_atom": -1.236, "formation_energy_ev_per_atom": 0.066, "space_group": "P1", "crystal_system": "triclinic", "vol_a3_per_atom": 67.8, "lattice_angstrom": [[-2.494, 2.955, 2.275], [2.576, -5.886, 6.008], [8.266, 7.322, -0.434]], "species": ["K", "K", "K", "K", "K", "Ba"], "fractional_positions": [[0.273, 0.547, 0.053], [0.611, 0.223, 0.724], [0.337, 0.673, 0.671], [0.668, 0.334, 0.333], [0.945, 0.890, 0.384], [0.999, 0.998, 0.002]]}

(3)
{"formula": "IrOsW2", "functional": "GGA-PBEsol", "state": "optimized geometry", "dos_ef_per_ev_atom": 0.73, "magmom_total_mub_per_fu": 0.00, "energy_ev_per_atom": -12.524, "formation_energy_ev_per_atom": -0.110, "space_group": "Pmmm", "crystal_system": "orthorhombic", "vol_a3_per_atom": 14.8, "lattice_angstrom": [[-2.371, 0.898, 1.074], [0.586, -2.216, 3.145], [2.679, 4.162, 2.434]], "species": ["Ir", "Os", "W", "W"], "fractional_positions": [[0.500, 0.500, 0.000], [0.500, 0.500, 0.500], [0.000, 0.000, 0.252], [0.000, 0.000, 0.748]]}

(4)
{"formula": "MgGa2", "functional": "GGA-PBEsol", "state": "optimized geometry", "dos_ef_per_ev_atom": 0.30, "magmom_total_mub_per_fu": 0.00, "energy_ev_per_atom": -2.956, "formation_energy_ev_per_atom": -0.157, "space_group": "Pbam", "crystal_system": "orthorhombic", "vol_a3_per_atom": 18.4, "lattice_angstrom": [[4.083, 0.000, 0.000], [0.000, 6.675, 0.000], [0.000, 0.000, 16.240]], "species": ["Mg", "Mg", "Mg", "Mg", "Mg", "Mg", "Mg", "Mg", "Ga", "Ga", "Ga", "Ga", "Ga", "Ga", "Ga", "Ga", "Ga", "Ga", "Ga", "Ga", "Ga", "Ga", "Ga", "Ga"], "fractional_positions": [[0.000, 0.327, 0.078], [0.000, 0.173, 0.578], [0.000, 0.673, 0.922], [0.000, 0.202, 0.279], [0.000, 0.798, 0.721], [0.000, 0.702, 0.221], [0.000, 0.827, 0.422], [0.000, 0.298, 0.779], [0.500, 0.409, 0.191], [0.500, 0.091, 0.691], [0.000, 0.400, 0.433], [0.500, 0.527, 0.342], [0.500, 0.027, 0.158], [0.500, 0.645, 0.062], [0.500, 0.591, 0.809], [0.000, 0.600, 0.567], [0.500, 0.355, 0.938], [0.500, 0.973, 0.842], [0.000, 0.100, 0.933], [0.000, 0.900, 0.067], [0.500, 0.855, 0.562], [0.500, 0.145, 0.438], [0.500, 0.473, 0.658], [0.500, 0.909, 0.309]]}

(5)
{"formula": "AlReSe2N", "functional": "GGA-PBEsol", "state": "optimized geometry", "dos_ef_per_ev_atom": 0.60, "magmom_total_mub_per_fu": 0.00, "energy_ev_per_atom": -6.505, "space_group": "P4/mmm", "crystal_system": "tetragonal", "vol_a3_per_atom": 18.6, "lattice_angstrom": [[-3.021, 1.574, -1.466], [-2.322, -4.433, 0.026], [-1.741, 0.939, 4.597]], "species": ["Al", "Re", "Se", "Se", "N"], "fractional_positions": [[0.500, 0.500, 0.500], [0.000, 0.000, 0.000], [0.000, 0.000, 0.500], [0.000, 0.500, 0.000], [0.500, 0.000, 0.000]]}

(6)
{"formula": "TlNi2Ir", "functional": "GGA-PBEsol", "state": "optimized geometry", "dos_ef_per_ev_atom": 1.39, "magmom_total_mub_per_fu": 0.00, "energy_ev_per_atom": -5.856, "formation_energy_ev_per_atom": 0.336, "space_group": "Fm-3m", "crystal_system": "cubic", "vol_a3_per_atom": 13.8, "lattice_angstrom": [[-2.973, 0.698, 2.992], [0.894, -0.737, 4.116], [0.427, 3.276, 2.715]], "species": ["Ni", "Ni", "Tl", "Ir"], "fractional_positions": [[0.750, 0.750, 0.750], [0.250, 0.250, 0.250], [0.500, 0.500, 0.500], [0.000, 0.000, 0.000]]}

(7)
{"formula": "LaBe2Os", "functional": "GGA-PBEsol", "state": "optimized geometry", "dos_ef_per_ev_atom": 0.68, "magmom_total_mub_per_fu": 0.00, "energy_ev_per_atom": -5.704, "formation_energy_ev_per_atom": 0.686, "space_group": "P4/mmm", "crystal_system": "tetragonal", "vol_a3_per_atom": 16.3, "lattice_angstrom": [[-3.042, -1.192, -2.034], [2.274, -0.599, -3.050], [0.718, -4.125, 1.345]], "species": ["Be", "Be", "Os", "La"], "fractional_positions": [[0.500, 0.500, 0.000], [0.000, 0.000, 0.000], [0.000, 0.500, 0.500], [0.500, 0.000, 0.500]]}

(8)
{"formula": "Mn2H8S3N2O12", "functional": "GGA-PBEsol", "state": "optimized geometry", "dos_ef_per_ev_atom": 0.02, "magmom_total_mub_per_fu": 10.08, "energy_ev_per_atom": -5.351, "space_group": "P2_13", "crystal_system": "cubic", "vol_a3_per_atom": 10.1, "lattice_angstrom": [[-0.031, 8.418, 5.923], [-9.673, -2.048, 2.860], [3.518, -5.558, 7.917]], "species": ["N", "N", "N", "N", "N", "N", "N", "N", "H", "H", "H", "H", "H", "H", "H", "H", "H", "H", "H", "H", "H", "H", "H", "H", "H", "H", "H", "H", "H", "H", "H", "H", "H", "H", "H", "H", "H", "H", "H", "H", "O", "O", "O", "O", "O", "O", "O", "O", "O", "O", "O", "O", "O", "O", "O", "O", "O", "O", "O", "O", "O", "O", "O", "O", "O", "O", "O", "O", "O", "O", "O", "O", "O", "O", "O", "O", "O", "O", "O", "O", "O", "O", "O", "O", "O", "O", "O", "O", "Mn", "Mn", "Mn", "Mn", "Mn", "Mn", "Mn", "Mn", "S", "S", "S", "S", "S", "S", "S", "S", "S", "S", "S", "S"], "fractional_positions": [[0.656, 0.156, 0.344], [0.120, 0.880, 0.380], [0.844, 0.844, 0.844], [0.620, 0.620, 0.620], [0.156, 0.344, 0.656], [0.344, 0.656, 0.156], [0.380, 0.120, 0.880], [0.880, 0.380, 0.120], [0.278, 0.599, 0.209], [0.216, 0.912, 0.013], [0.722, 0.099, 0.291], [0.088, 0.513, 0.284], [0.401, 0.599, 0.099], [0.284, 0.088, 0.513], [0.791, 0.778, 0.901], [0.995, 0.495, 0.005], [0.487, 0.784, 0.412], [0.013, 0.216, 0.912], [0.709, 0.222, 0.401], [0.778, 0.901, 0.791], [0.987, 0.716, 0.588], [0.099, 0.291, 0.722], [0.716, 0.588, 0.987], [0.588, 0.987, 0.716], [0.505, 0.505, 0.505], [0.784, 0.412, 0.487], [0.401, 0.709, 0.222], [0.412, 0.487, 0.784], [0.513, 0.284, 0.088], [0.495, 0.005, 0.995], [0.222, 0.401, 0.709], [0.005, 0.995, 0.495], [0.291, 0.722, 0.099], [0.099, 0.401, 0.599], [0.599, 0.209, 0.278], [0.901, 0.901, 0.901], [0.912, 0.013, 0.216], [0.209, 0.278, 0.599], [0.599, 0.099, 0.401], [0.901, 0.791, 0.778], [0.094, 0.641, 0.721], [0.124, 0.500, 0.064], [0.359, 0.221, 0.406], [0.445, 0.827, 0.876], [0.673, 0.124, 0.945], [0.173, 0.826, 0.035], [0.055, 0.173, 0.376], [0.624, 0.000, 0.936], [0.064, 0.124, 0.500], [0.500, 0.064, 0.124], [0.279, 0.594, 0.859], [0.594, 0.859, 0.279], [0.221, 0.406, 0.359], [0.564, 0.376, 0.500], [0.376, 0.500, 0.564], [0.326, 0.465, 0.827], [0.859, 0.279, 0.594], [0.000, 0.436, 0.876], [0.965, 0.673, 0.674], [0.465, 0.827, 0.326], [0.721, 0.094, 0.641], [0.500, 0.564, 0.376], [0.779, 0.906, 0.141], [0.673, 0.674, 0.965], [0.000, 0.936, 0.624], [0.624, 0.555, 0.327], [0.826, 0.035, 0.173], [0.535, 0.327, 0.174], [0.173, 0.376, 0.055], [0.876, 0.445, 0.827], [0.406, 0.359, 0.221], [0.641, 0.721, 0.094], [0.876, 0.000, 0.436], [0.827, 0.326, 0.465], [0.035, 0.173, 0.826], [0.327, 0.624, 0.555], [0.436, 0.876, 0.000], [0.906, 0.141, 0.779], [0.674, 0.965, 0.673], [0.555, 0.327, 0.624], [0.174, 0.535, 0.327], [0.827, 0.876, 0.445], [0.945, 0.673, 0.124], [0.141, 0.779, 0.906], [0.124, 0.945, 0.673], [0.327, 0.174, 0.535], [0.376, 0.055, 0.173], [0.936, 0.624, 0.000], [0.100, 0.600, 0.900], [0.268, 0.768, 0.732], [0.768, 0.732, 0.268], [0.400, 0.400, 0.400], [0.732, 0.268, 0.768], [0.600, 0.900, 0.100], [0.900, 0.100, 0.600], [0.232, 0.232, 0.232], [0.482, 0.249, 0.892], [0.108, 0.982, 0.251], [0.518, 0.749, 0.608], [0.018, 0.751, 0.392], [0.392, 0.018, 0.751], [0.608, 0.518, 0.749], [0.982, 0.251, 0.108], [0.749, 0.608, 0.518], [0.892, 0.482, 0.249], [0.249, 0.892, 0.482], [0.251, 0.108, 0.982], [0.751, 0.392, 0.018]]}